1.
A relaxed structure of Lu3Co5Se12, computed with PBE-GGA.

Cell lengths 15.0662, 15.0662, 15.0662 Å; angles 90.00, 90.00, 90.00 degrees
Space group Ia-3d (No. 230)
One atom of each set of equivalent atoms:
1 Lu 0.0000 0.2500 0.1250 [24 per cell]
2 Co 0.0000 0.0000 0.0000 [16 per cell]
3 Co 0.0000 0.2500 0.3750 [24 per cell]
4 Se 0.0288 0.0573 0.6463 [96 per cell]

Calculated values
**Density**: 6.9 g/cm3
**Raw formation energy**: -671 meV per atom
**V**: 21.4 Å³ per atom

=====

2.
A relaxed structure of LuCoSe, computed with PBE-GGA.

Cell lengths 3.6620, 3.6620, 8.2814 Å; angles 90.00, 90.00, 90.00 degrees
Space group I4mm (No. 107)
One atom of each set of equivalent atoms:
1 Lu 0.0000 0.0000 0.0000 [2 per cell]
2 Co 0.0000 0.0000 0.3750 [2 per cell]
3 Se 0.0000 0.0000 0.6591 [2 per cell]

Calculated values
**Density**: 9.4 g/cm3
**Raw formation energy**: -420 meV per atom
**V**: 18.5 Å³ per atom

=====

3.
A relaxed structure of LuCoSi, computed with PBE-GGA.

Cell lengths 3.9819, 3.9819, 3.6845 Å; angles 90.00, 90.00, 120.00 degrees
Space group P-6m2 (No. 187)
One atom of each set of equivalent atoms:
1 Lu 0.0000 0.0000 0.0000 [1 per cell]
2 Co 0.3333 0.6667 0.5000 [1 per cell]
3 Si 0.6667 0.3333 0.5000 [1 per cell]

Calculated values
**Density**: 8.6 g/cm3
**Raw formation energy**: -658 meV per atom
**V**: 16.9 Å³ per atom

=====

4.
A relaxed structure of LuCoSi, computed with PBE-GGA.

Cell lengths 6.6791, 4.0979, 6.9702 Å; angles 90.00, 90.00, 90.00 degrees
Space group Pnma (No. 62)
One atom of each set of equivalent atoms:
1 Lu 0.0103 0.2500 0.1930 [4 per cell]
2 Co 0.1523 0.7500 0.4349 [4 per cell]
3 Si 0.1995 0.2500 0.6037 [4 per cell]

Calculated values
**Density**: 9.1 g/cm3
**Raw formation energy**: -780 meV per atom
**V**: 15.9 Å³ per atom

=====

5.
A relaxed structure of Lu5Co4Si14, computed with PBE-GGA.

Cell lengths 12.2406, 7.7523, 7.6801 Å; angles 90.00, 98.84, 90.00 degrees
Space group P2_1/c (No. 14)
One atom of each set of equivalent atoms:
1 Lu 0.0000 0.0000 0.0000 [2 per cell]
2 Lu 0.3651 0.2484 0.3423 [4 per cell]
3 Lu 0.3654 0.7491 0.3399 [4 per cell]
4 Co 0.9997 0.1269 0.6277 [4 per cell]
5 Co 0.2503 0.9998 0.0610 [4 per cell]
6 Si 0.0001 0.1664 0.3337 [4 per cell]
7 Si 0.1783 0.0053 0.7689 [4 per cell]
8 Si 0.1780 0.2263 0.5500 [4 per cell]
9 Si 0.1780 0.7264 0.0383 [4 per cell]
10 Si 0.1786 0.5056 0.8183 [4 per cell]
11 Si 0.4393 0.0003 0.6110 [4 per cell]
12 Si 0.4401 0.0004 0.1097 [4 per cell]

Calculated values
**Density**: 6.9 g/cm3
**Raw formation energy**: -648 meV per atom
**V**: 15.7 Å³ per atom

=====

6.
A relaxed structure of SmLuCo, computed with PBE-GGA.

Cell lengths 6.6287, 6.6287, 6.6287 Å; angles 90.00, 90.00, 90.00 degrees
Space group F-43m (No. 216)
One atom of each set of equivalent atoms:
1 Sm 0.0000 0.0000 0.0000 [4 per cell]
2 Lu 0.0000 0.0000 0.5000 [4 per cell]
3 Co 0.2500 0.2500 0.7500 [4 per cell]

Calculated values
**Density**: 8.8 g/cm3
**Energy**: -5.49 eV per atom
**V**: 24.3 Å³ per atom

=====

7.
A relaxed structure of SmLuCo, computed with PBE-GGA.

Cell lengths 3.3605, 3.3605, 12.5903 Å; angles 90.00, 90.00, 90.00 degrees
Space group I4mm (No. 107)
One atom of each set of equivalent atoms:
1 Sm 0.0000 0.0000 0.0000 [2 per cell]
2 Lu 0.0000 0.0000 0.2578 [2 per cell]
3 Co 0.0000 0.0000 0.6376 [2 per cell]

Calculated values
**Density**: 9.0 g/cm3
**Energy**: -5.55 eV per atom
**V**: 23.7 Å³ per atom

=====

8.
A relaxed structure of SmLuCo2, computed with PBE-GGA.

Cell lengths 6.6766, 6.6766, 6.6766 Å; angles 90.00, 90.00, 90.00 degrees
Space group Fm-3m (No. 225)
One atom of each set of equivalent atoms:
1 Sm 0.0000 0.0000 0.0000 [4 per cell]
2 Lu 0.0000 0.0000 0.5000 [4 per cell]
3 Co 0.2500 0.2500 0.2500 [8 per cell]

Calculated values
**Density**: 9.9 g/cm3
**Energy**: -5.98 eV per atom
**V**: 18.6 Å³ per atom

=====

9.
A relaxed structure of SmLu2Co, computed with PBE-GGA.

Cell lengths 3.3447, 3.3447, 31.9043 Å; angles 90.00, 90.00, 120.00 degrees
Space group R-3m (No. 166, hexagonal axes)
One atom of each set of equivalent atoms:
1 Sm 0.0000 0.0000 0.0000 [3 per cell]
2 Lu 0.0000 0.0000 0.4244 [6 per cell]
3 Co 0.0000 0.0000 0.5000 [3 per cell]

Calculated values
**Density**: 9.0 g/cm3
**Energy**: -4.73 eV per atom
**V**: 25.8 Å³ per atom

=====

10.
A relaxed structure of SmLu2Co, computed with PBE-GGA.

Cell lengths 3.3394, 3.3394, 8.7533 Å; angles 90.00, 90.00, 90.00 degrees
Space group P4/mmm (No. 123)
One atom of each set of equivalent atoms:
1 Sm 0.0000 0.0000 0.0000 [1 per cell]
2 Lu 0.5000 0.5000 0.3206 [2 per cell]
3 Co 0.0000 0.0000 0.5000 [1 per cell]

Calculated values
**Density**: 9.5 g/cm3
**Energy**: -5.34 eV per atom
**V**: 24.4 Å³ per atom

=====

11.
A relaxed structure of SmLuCo2, computed with PBE-GGA.

Cell lengths 3.3431, 3.3431, 6.6859 Å; angles 90.00, 90.00, 90.00 degrees
Space group P4/mmm (No. 123)
One atom of each set of equivalent atoms:
1 Sm 0.0000 0.0000 0.0000 [1 per cell]
2 Lu 0.0000 0.0000 0.5000 [1 per cell]
3 Co 0.5000 0.5000 0.2637 [2 per cell]

Calculated values
**Density**: 9.8 g/cm3
**Energy**: -5.99 eV per atom
**V**: 18.7 Å³ per atom

=====

12.
A relaxed structure of SmLuCo, computed with PBE-GGA.

Cell lengths 3.8798, 3.8798, 6.1130 Å; angles 90.00, 90.00, 120.00 degrees
Space group P3m1 (No. 156)
One atom of each set of equivalent atoms:
1 Sm 0.0000 0.0000 0.0000 [1 per cell]
2 Lu 0.3333 0.6667 0.4666 [1 per cell]
3 Co 0.6667 0.3333 0.2429 [1 per cell]

Calculated values
**Density**: 8.0 g/cm3
**Energy**: -5.48 eV per atom
**V**: 26.6 Å³ per atom

=====

13.
A relaxed structure of SmLuTlCo, computed with PBE-GGA.

Cell lengths 7.2295, 7.2295, 7.2295 Å; angles 90.00, 90.00, 90.00 degrees
Space group F-43m (No. 216)
One atom of each set of equivalent atoms:
1 Sm 0.0000 0.0000 0.0000 [4 per cell]
2 Lu 0.0000 0.0000 0.5000 [4 per cell]
3 Tl 0.2500 0.2500 0.2500 [4 per cell]
4 Co 0.2500 0.2500 0.7500 [4 per cell]

Calculated values
**Density**: 10.3 g/cm3
**Energy**: -4.78 eV per atom
**V**: 23.6 Å³ per atom

=====

14.
A relaxed structure of SmLuZnCo, computed with PBE-GGA.

Cell lengths 6.8930, 6.8930, 6.8930 Å; angles 90.00, 90.00, 90.00 degrees
Space group F-43m (No. 216)
One atom of each set of equivalent atoms:
1 Sm 0.0000 0.0000 0.0000 [4 per cell]
2 Lu 0.0000 0.0000 0.5000 [4 per cell]
3 Zn 0.2500 0.2500 0.7500 [4 per cell]
4 Co 0.2500 0.2500 0.2500 [4 per cell]

Calculated values
**Density**: 9.1 g/cm3
**Energy**: -4.62 eV per atom
**V**: 20.5 Å³ per atom

=====

15.
A relaxed structure of LuCoSn, computed with PBE-GGA.

Cell lengths 6.7874, 4.3758, 7.7427 Å; angles 90.00, 90.00, 90.00 degrees
Space group Pnma (No. 62)
One atom of each set of equivalent atoms:
1 Lu 0.0190 0.2500 0.1896 [4 per cell]
2 Co 0.2297 0.7500 0.3969 [4 per cell]
3 Sn 0.1717 0.2500 0.5737 [4 per cell]

Calculated values
**Density**: 10.2 g/cm3
**Energy**: -5.69 eV per atom
**V**: 19.2 Å³ per atom

=====

16.
A relaxed structure of LuCoSn, computed with PBE-GGA.

Cell lengths 4.4566, 4.4566, 3.4679 Å; angles 90.00, 90.00, 120.00 degrees
Space group P-6m2 (No. 187)
One atom of each set of equivalent atoms:
1 Lu 0.0000 0.0000 0.0000 [1 per cell]
2 Co 0.3333 0.6667 0.5000 [1 per cell]
3 Sn 0.6667 0.3333 0.5000 [1 per cell]

Calculated values
**Density**: 9.8 g/cm3
**Energy**: -5.58 eV per atom
**V**: 19.9 Å³ per atom

=====

17.
A relaxed structure of LuCoSn, computed with PBE-GGA.

Cell lengths 3.2237, 3.2237, 11.0825 Å; angles 90.00, 90.00, 90.00 degrees
Space group I4mm (No. 107)
One atom of each set of equivalent atoms:
1 Lu 0.0000 0.0000 0.0000 [2 per cell]
2 Co 0.0000 0.0000 0.3451 [2 per cell]
3 Sn 0.0000 0.0000 0.7137 [2 per cell]

Calculated values
**Density**: 10.2 g/cm3
**Energy**: -5.48 eV per atom
**V**: 19.2 Å³ per atom

=====

18.
A relaxed structure of LuCoSn2, computed with PBE-GGA.

Cell lengths 4.3185, 4.3185, 15.6543 Å; angles 90.00, 90.00, 120.00 degrees
Space group R-3m (No. 166, hexagonal axes)
One atom of each set of equivalent atoms:
1 Lu 0.0000 0.0000 0.0000 [3 per cell]
2 Co 0.0000 0.0000 0.5000 [3 per cell]
3 Sn 0.0000 0.0000 0.2238 [6 per cell]

Calculated values
**Density**: 9.3 g/cm3
**Energy**: -5.17 eV per atom
**V**: 21.1 Å³ per atom

=====

19.
A relaxed structure of LuCoSn, computed with PBE-GGA.

Cell lengths 6.3151, 6.3151, 6.3151 Å; angles 90.00, 90.00, 90.00 degrees
Space group F-43m (No. 216)
One atom of each set of equivalent atoms:
1 Lu 0.0000 0.0000 0.0000 [4 per cell]
2 Co 0.2500 0.2500 0.2500 [4 per cell]
3 Sn 0.0000 0.0000 0.5000 [4 per cell]

Calculated values
**Density**: 9.3 g/cm3
**Energy**: -5.58 eV per atom
**V**: 21.0 Å³ per atom

=====

20.
A relaxed structure of LuCo4Sn, computed with PBE-GGA.

Cell lengths 7.0042, 7.0042, 7.0042 Å; angles 90.00, 90.00, 90.00 degrees
Space group F-43m (No. 216)
One atom of each set of equivalent atoms:
1 Lu 0.0000 0.0000 0.0000 [4 per cell]
2 Co 0.1249 0.1249 0.6249 [16 per cell]
3 Sn 0.2500 0.2500 0.2500 [4 per cell]

Calculated values
**Density**: 10.2 g/cm3
**Energy**: -6.34 eV per atom
**V**: 14.3 Å³ per atom